Below is NpAgPtAu after structural relaxation, with properties calculated at the PBE-GGA level.

Cell: 4.844 4.844 4.844 Å, 60.00 60.00 60.00°
Fractional coordinates of all 4 atoms:
Np 0.000 0.000 0.000
Ag 0.500 0.500 0.500
Pt 0.750 0.750 0.750
Au 0.250 0.250 0.250

## Properties
SG = F-43m
DFT total energy = -25.87 eV per formula unit
DOS(E_F) = 2.59 states/eV/atom
ΔH_f (0 K) = -73 kJ/mol of formula units
Total magnetic moment = 3.65 μB/cell